[1]
Entry from Alexandria: Tl2PO5 after structural relaxation (PBE-GGA).

Unit cell a=8.0874 b=8.0874 c=11.0785 alpha=118.00 beta=118.00 gamma=52.15
Fractional positions:
Tl  0.0457  0.2433  0.8393
Tl  0.1972  0.7205  0.5186
Tl  0.2433  0.0457  0.3393
Tl  0.2795  0.8028  0.9814
Tl  0.7205  0.1972  0.0186
Tl  0.7567  0.9543  0.6607
Tl  0.8028  0.2795  0.4814
Tl  0.9543  0.7567  0.1607
P  0.2410  0.4033  0.6930
P  0.4033  0.2410  0.1930
P  0.5967  0.7590  0.8070
P  0.7590  0.5967  0.3070
O  0.0637  0.9108  0.1112
O  0.0790  0.3596  0.6948
O  0.0892  0.9363  0.3888
O  0.1061  0.6135  0.6418
O  0.2113  0.3809  0.0864
O  0.3596  0.0790  0.1948
O  0.3809  0.2113  0.5864
O  0.3865  0.8939  0.8582
O  0.3936  0.4347  0.8439
O  0.4347  0.3936  0.3439
O  0.5653  0.6064  0.6561
O  0.6064  0.5653  0.1561
O  0.6135  0.1061  0.1418
O  0.6191  0.7887  0.4136
O  0.6404  0.9210  0.8052
O  0.7887  0.6191  0.9136
O  0.8939  0.3865  0.3582
O  0.9108  0.0637  0.6112
O  0.9210  0.6404  0.3052
O  0.9363  0.0892  0.8888

For the uncorrected formation energy, the calculation gives -10.89 eV per formula unit. Its energy is -5.727 eV per atom. The spin magnetization comes out at 0.00 μB per formula unit.


[2]
Entry from Alexandria: TlP2O after structural relaxation (PBE-GGA).

Unit cell a=7.3543 b=7.3543 c=7.3543 alpha=141.11 beta=141.11 gamma=56.17
Fractional positions:
Tl  0.0000  0.0000  0.0000
Tl  0.7500  0.2500  0.5000
P  0.3177  0.6250  0.1927
P  0.3750  0.5677  0.6927
P  0.4323  0.1250  0.8073
P  0.8750  0.6823  0.3073
O  0.2500  0.7500  0.5000
O  0.5000  0.5000  0.0000

For the uncorrected formation energy, the calculation gives 0.39 eV per formula unit. The value obtained for the energy above the most stable polymorph in this dataset is 0.0 meV/atom. Its energy is -4.438 eV per atom. The spin magnetization comes out at 0.00 μB per formula unit.


[3]
Entry from Alexandria: TlP2O2 after structural relaxation (PBE-GGA).

Unit cell a=5.1576 b=5.1576 c=4.0783 alpha=90.00 beta=90.00 gamma=90.00
Fractional positions:
Tl  0.0000  0.0000  0.0000
P  0.0000  0.5000  0.0000
P  0.5000  0.0000  0.0000
O  0.0000  0.0000  0.5000
O  0.5000  0.5000  0.5000

For the uncorrected formation energy, the calculation gives 8.02 eV per formula unit. The value obtained for the energy above the most stable polymorph in this dataset is 1980.8 meV/atom. Its energy is -3.016 eV per atom. The spin magnetization comes out at 0.00 μB per formula unit.